Record 1
Material: Tb2Mg3Hg4
Method: DFT, PBE
State: optimized geometry

Cell and atoms, written as POSCAR:
```
Tb2Mg3Hg4
1.0
3.158 -8.399 0.000
3.158 8.399 0.000
0.000 0.000 8.071
Tb Mg Hg
4 6 8
Direct
0.102 0.898 0.909
0.398 0.602 0.409
0.602 0.398 0.591
0.898 0.102 0.091
0.000 0.000 0.500
0.021 0.479 0.750
0.479 0.021 0.250
0.500 0.500 0.000
0.521 0.979 0.750
0.979 0.521 0.250
0.171 0.829 0.539
0.192 0.308 0.750
0.308 0.192 0.250
0.329 0.671 0.039
0.671 0.329 0.961
0.692 0.808 0.750
0.808 0.692 0.250
0.829 0.171 0.461
```

Energy of formation   -2.836 eV per formula unit
Space group   Cmce, No. 64
Volume   428 Å³ per cell
Energy above the lowest structure with this stoichiometry   43 kJ/mol of formula units
Calculated total energy   -0.0739 hartree per atom
Total moment   0.000 μB/atom

=====

Record 2
Material: ErGa2Cu9
Method: DFT, PBE
State: optimized geometry

Cell and atoms, written as POSCAR:
```
ErGa2Cu9
1.0
-5.046 5.046 3.301
5.046 -5.046 3.301
5.046 5.046 -3.301
Er Ga Cu
2 4 18
Direct
0.375 0.625 0.750
0.625 0.375 0.250
0.000 0.000 0.000
0.000 0.000 0.500
0.000 0.500 0.000
0.500 0.000 0.500
0.125 0.875 0.250
0.136 0.557 0.336
0.136 0.800 0.579
0.200 0.279 0.336
0.200 0.864 0.921
0.279 0.200 0.836
0.279 0.443 0.079
0.443 0.279 0.579
0.443 0.864 0.164
0.557 0.136 0.836
0.557 0.721 0.421
0.721 0.557 0.921
0.721 0.800 0.164
0.800 0.136 0.079
0.800 0.721 0.664
0.864 0.200 0.421
0.864 0.443 0.664
0.875 0.125 0.750
```

Energy of formation   -1.856 eV per formula unit
Space group   I4_1/amd, No. 141
Volume   336 Å³ per cell
Energy above the lowest structure with this stoichiometry   0 kJ/mol of formula units
Calculated total energy   -0.1511 hartree per atom
Total moment   0.000 μB/atom

=====

What is the formula in the first record? Tb2Mg3Hg4